Entry from Alexandria: crystalline LaYMg at its relaxed geometry (PBE).

Structure (extended XYZ):
```
3
Lattice="0.000 3.792 3.792 3.792 0.000 3.792 3.792 3.792 0.000" Properties=species:S:1:pos:R:3 pbc="T T T"
La 0.000 0.000 0.000
Y 3.792 3.792 3.792
Mg 5.688 5.688 5.688
```

Summary:
The mass density is 3.84 g/cm3. The symmetry is No. 216. As for the total magnetization: 0.1 μB per formula unit. As for the relative energy among the computed polymorphs: 0.4189 eV per atom. The formation energy is 361 meV per atom.